Model i:
# RbSrAu2

Crystalline RbSrAu2 at its relaxed geometry (PBE, Alexandria via LeMat-Bulk).

a b c (Å): 8.6800 8.6800 7.3608
angles (deg): 53.87 53.87 90.00
Closest atoms and distances in Å follow each position.
Fractional positions:
1 Sr 0.7500 0.2500 0.5000  4 Au 3.07
2 Sr 0.0000 0.0000 0.0000  4 Au 3.07
3 Rb 0.2500 0.7500 0.5000  4 Au 3.41
4 Rb 0.5000 0.5000 0.0000  4 Au 3.41
5 Au 0.6539 0.1250 0.2500  2 Sr 3.07, 2 Rb 3.41
6 Au 0.0961 0.6250 0.2500  2 Sr 3.07, 2 Rb 3.41
7 Au 0.8750 0.9039 0.7500  2 Sr 3.07, 2 Rb 3.41
8 Au 0.3750 0.3461 0.7500  2 Sr 3.07, 2 Rb 3.41

The crystal system is tetragonal. The calculation puts the calculated density at 6151 kg/m³. As for the density of states at the Fermi level: 2.88 states/eV/f.u.

***

Model ii:
# RbSrAu2

Crystalline RbSrAu2 at its relaxed geometry (PBE, Alexandria via LeMat-Bulk).

a b c (Å): 3.9138 5.6626 5.6626
angles (deg): 90.00 90.00 90.00
Closest atoms and distances in Å follow each position.
Fractional positions:
1 Au 0.0000 0.0000 0.5000  4 Rb 3.44, 4 Sr 3.44
2 Au 0.0000 0.5000 0.0000  4 Sr 3.44, 4 Rb 3.44
3 Rb 0.5000 0.0000 0.0000  8 Au 3.44
4 Sr 0.5000 0.5000 0.5000  8 Au 3.44

The crystal system is tetragonal. The calculation puts the calculated density at 7503 kg/m³. As for the density of states at the Fermi level: 1.64 states/eV/f.u.

***

Ranking the structures above by stability puts model ii first and model i last.